one | ## PmEr2C (PBE)

Data for an optimized crystal structure of PmEr2C.

```
PmEr2C
1.0
1.754 1.013 9.746
-1.754 1.013 9.746
0.000 -2.025 9.746
Pm Er C
1 2 1
Direct
0.000 0.000 0.000
0.121 0.121 0.121
0.879 0.879 0.879
0.500 0.500 0.500
```

## Properties
The space group is R-3m, No. 166. As for the total magnetization: 0.08 μB/cell.

***

two | ## PmEr2C (PBE)

Data for an optimized crystal structure of PmEr2C.

```
PmEr2C
1.0
1.781 1.028 9.157
-1.781 1.028 9.157
0.000 -2.057 9.157
Pm Er C
1 2 1
Direct
0.000 0.000 0.000
0.217 0.217 0.217
0.453 0.453 0.453
0.835 0.835 0.835
```

## Properties
The space group is R3m, No. 160. As for the total magnetization: 0.41 μB/cell.

***

Ordering by calculated energy gives the sequence two, one, with the first entry being the most stable.